UZnGe2 | PBE | relaxed

Structure (POSCAR):
```
UZnGe2
1.0
4.338 0.000 0.000
0.000 4.338 0.000
0.000 0.000 3.985
U Zn Ge
1 1 2
Direct
0.000 0.000 0.000 U
0.500 0.500 0.000 Zn
0.000 0.500 0.500 Ge
0.500 0.000 0.500 Ge
```

Calculated values
The density of states at the Fermi level is 5.050 states/eV/f.u. The total energy comes out at -22.7 eV per cell.